No. 1
# PBE-GGA Ce5OsPb5, relaxed
data_Ce5OsPb5
_symmetry_space_group_name_H-M 'C 1 2/m 1'
_symmetry_Int_Tables_number 12
_cell_length_a 18.3340
_cell_length_b 5.6750
_cell_length_c 6.6554
_cell_angle_alpha 90.00
_cell_angle_beta 111.21
_cell_angle_gamma 90.00
loop_
_symmetry_equiv_pos_as_xyz
'x,y,z'
'-x,-y,-z'
'-x,y,-z'
'x,-y,z'
'x+1/2,y+1/2,z'
'-x+1/2,-y+1/2,-z'
'-x+1/2,y+1/2,-z'
'x+1/2,-y+1/2,z'
loop_
_atom_site_label
_atom_site_type_symbol
_atom_site_fract_x
_atom_site_fract_y
_atom_site_fract_z
Ce1 Ce 0.0000 0.0000 0.0000
Ce2 Ce 0.1494 0.5000 0.3639
Ce3 Ce 0.1490 0.5000 0.9344
Os1 Os 0.0000 0.5000 0.0000
Pb1 Pb 0.0000 0.5000 0.5000
Pb2 Pb 0.1406 0.0000 0.6408
Pb3 Pb 0.1917 0.0000 0.1915
# * crystal system: monoclinic
# * DFT formation energy: -0.24 eV/atom

=====

No. 2
# PBE-GGA Ca2ReSb, relaxed
data_Ca2ReSb
_symmetry_space_group_name_H-M 'C 1 2/m 1'
_symmetry_Int_Tables_number 12
_cell_length_a 9.7191
_cell_length_b 3.1147
_cell_length_c 6.4248
_cell_angle_alpha 90.00
_cell_angle_beta 97.15
_cell_angle_gamma 90.00
loop_
_symmetry_equiv_pos_as_xyz
'x,y,z'
'-x,-y,-z'
'-x,y,-z'
'x,-y,z'
'x+1/2,y+1/2,z'
'-x+1/2,-y+1/2,-z'
'-x+1/2,y+1/2,-z'
'x+1/2,-y+1/2,z'
loop_
_atom_site_label
_atom_site_type_symbol
_atom_site_fract_x
_atom_site_fract_y
_atom_site_fract_z
Ca1 Ca 0.2491 0.0000 0.2352
Re1 Re 0.0000 0.5000 0.0000
Sb1 Sb 0.0000 0.0000 0.5000
# * raw formation energy: 0.463 eV/atom
# * crystal system: monoclinic

=====

No. 3
# PBE-GGA Nd4SmGa3, relaxed
data_Nd4SmGa3
_symmetry_space_group_name_H-M 'I 4/m c m'
_symmetry_Int_Tables_number 140
_symmetry_space_group_name_Hall '-I 4 2c'
_cell_length_a 12.0401
_cell_length_b 12.0401
_cell_length_c 6.0880
_cell_angle_alpha 90.00
_cell_angle_beta 90.00
_cell_angle_gamma 90.00
loop_
_atom_site_label
_atom_site_type_symbol
_atom_site_fract_x
_atom_site_fract_y
_atom_site_fract_z
Nd1 Nd 0.0874 0.2155 0.0000
Sm1 Sm 0.0000 0.5000 0.2500
Ga1 Ga 0.0000 0.0000 0.2500
Ga2 Ga 0.1579 0.3421 0.5000
# * crystal system: tetragonal
# * DFT formation energy: -0.45 eV/atom